## SiNiO3 (PBEsol)

Data for a relaxed structure of SiNiO3.

Cell: 3.6384 3.6384 3.6384 Å, 90.00 90.00 90.00°
Space group Pm-3m (No. 221)
One atom of each set of equivalent atoms:
Si 0.0000 0.0000 0.0000 [1 per cell]
Ni 0.5000 0.5000 0.5000 [1 per cell]
O 0.0000 0.5000 0.5000 [3 per cell]

Values from the calculation:
**Size of the total moment**: 0.00 Bohr magnetons per cell
**Formation energy without anion corrections**: -347 meV/atom

=====

## TiSiNi2O (PBEsol)

Data for a relaxed structure of TiSiNi2O.

Cell: 3.7763 3.7763 3.9616 Å, 90.00 90.00 90.00°
Space group P4/mmm (No. 123)
One atom of each set of equivalent atoms:
Ti 0.0000 0.0000 0.0000 [1 per cell]
Si 0.5000 0.5000 0.0000 [1 per cell]
Ni 0.0000 0.5000 0.5000 [2 per cell]
O 0.0000 0.0000 0.5000 [1 per cell]

Values from the calculation:
**Size of the total moment**: 0.00 Bohr magnetons per cell
**Formation energy without anion corrections**: -741 meV/atom

=====

## ZnSi4NiO10 (PBEsol)

Data for a relaxed structure of ZnSi4NiO10.

Cell: 7.0709 7.0709 14.7755 Å, 90.00 90.00 90.00°
Space group P4/ncc (No. 130, origin choice 2)
One atom of each set of equivalent atoms:
Zn 0.2500 0.7500 0.0000 [4 per cell]
Si 0.0099 0.5763 0.1431 [16 per cell]
Ni 0.2500 0.2500 0.0719 [4 per cell]
O 0.0025 0.6714 0.4264 [16 per cell]
O 0.0097 0.6979 0.6215 [16 per cell]
O 0.0498 0.5498 0.2500 [8 per cell]

Values from the calculation:
**Size of the total moment**: 0.56 Bohr magnetons per cell
**Formation energy without anion corrections**: -2286 meV/atom

=====

## SrSm3Ni2O8 (PBEsol)

Data for a relaxed structure of SrSm3Ni2O8.

Cell: 5.2619 5.2607 12.1622 Å, 90.00 90.00 90.00°
Space group Amm2 (No. 38)
One atom of each set of equivalent atoms:
Sr 0.0000 0.0000 0.0000 [2 per cell]
Sm 0.0000 0.0000 0.7225 [2 per cell]
Sm 0.5000 0.0000 0.2192 [2 per cell]
Sm 0.5000 0.0000 0.4927 [2 per cell]
Ni 0.0000 0.0000 0.3597 [2 per cell]
Ni 0.5000 0.0000 0.8623 [2 per cell]
O 0.0000 0.0000 0.1949 [2 per cell]
O 0.0000 0.0000 0.5340 [2 per cell]
O 0.2561 0.2450 0.3524 [8 per cell]
O 0.5000 0.0000 0.0328 [2 per cell]
O 0.5000 0.0000 0.6798 [2 per cell]

Values from the calculation:
**Size of the total moment**: 0.55 Bohr magnetons per cell
**Formation energy without anion corrections**: -2515 meV/atom